Record 1
{"formula": "Sc2Nb4Cu3N3", "functional": "GGA-PBE", "state": "relaxed", "cell": [[4.694, -2.707, 0.000], [4.694, 2.707, 0.000], [-3.104, 0.000, 13.384]], "species": ["Sc", "Sc", "Sc", "Sc", "Nb", "Nb", "Nb", "Nb", "Nb", "Nb", "Nb", "Nb", "Cu", "Cu", "Cu", "Cu", "Cu", "Cu", "N", "N", "N", "N", "N", "N"], "frac_coords": [[0.037, 0.875, 0.611], [0.125, 0.963, 0.889], [0.875, 0.037, 0.111], [0.963, 0.125, 0.389], [0.193, 0.359, 0.084], [0.303, 0.477, 0.416], [0.359, 0.193, 0.584], [0.477, 0.303, 0.916], [0.523, 0.697, 0.084], [0.641, 0.807, 0.416], [0.697, 0.523, 0.584], [0.807, 0.641, 0.916], [0.084, 0.392, 0.751], [0.392, 0.084, 0.251], [0.438, 0.562, 0.250], [0.562, 0.438, 0.750], [0.608, 0.916, 0.749], [0.916, 0.608, 0.249], [0.000, 0.500, 0.500], [0.158, 0.684, 0.000], [0.316, 0.842, 0.500], [0.500, 0.000, 0.000], [0.684, 0.158, 0.500], [0.842, 0.316, 0.000]], "m_tot_mub_per_fu": 0.0, "crystal_system": "monoclinic"}



Record 2
{"formula": "Sc4Nb2Cu3N3", "functional": "GGA-PBE", "state": "relaxed", "cell": [[4.765, -2.748, 0.000], [4.765, 2.748, 0.000], [-3.173, 0.000, 13.398]], "species": ["Sc", "Sc", "Sc", "Sc", "Sc", "Sc", "Sc", "Sc", "Nb", "Nb", "Nb", "Nb", "Cu", "Cu", "Cu", "Cu", "Cu", "Cu", "N", "N", "N", "N", "N", "N"], "frac_coords": [[0.035, 0.195, 0.098], [0.129, 0.302, 0.402], [0.195, 0.035, 0.598], [0.302, 0.129, 0.902], [0.698, 0.871, 0.098], [0.805, 0.965, 0.402], [0.871, 0.698, 0.598], [0.965, 0.805, 0.902], [0.358, 0.527, 0.079], [0.473, 0.642, 0.421], [0.527, 0.358, 0.579], [0.642, 0.473, 0.921], [0.143, 0.857, 0.250], [0.316, 0.411, 0.750], [0.411, 0.316, 0.250], [0.589, 0.684, 0.750], [0.684, 0.589, 0.250], [0.857, 0.143, 0.750], [0.000, 0.500, 0.000], [0.158, 0.671, 0.500], [0.329, 0.842, 0.000], [0.500, 0.000, 0.500], [0.671, 0.158, 0.000], [0.842, 0.329, 0.500]], "m_tot_mub_per_fu": 0.0, "crystal_system": "monoclinic"}



Record 3
{"formula": "Ta2Nb4Cu3N3", "functional": "GGA-PBE", "state": "relaxed", "cell": [[4.707, -2.713, 0.000], [4.707, 2.713, 0.000], [-3.135, 0.000, 12.994]], "species": ["Ta", "Ta", "Ta", "Ta", "Nb", "Nb", "Nb", "Nb", "Nb", "Nb", "Nb", "Nb", "Cu", "Cu", "Cu", "Cu", "Cu", "Cu", "N", "N", "N", "N", "N", "N"], "frac_coords": [[0.029, 0.858, 0.586], [0.142, 0.971, 0.914], [0.858, 0.029, 0.086], [0.971, 0.142, 0.414], [0.197, 0.369, 0.094], [0.306, 0.465, 0.406], [0.369, 0.197, 0.594], [0.465, 0.306, 0.906], [0.535, 0.694, 0.094], [0.631, 0.803, 0.406], [0.694, 0.535, 0.594], [0.803, 0.631, 0.906], [0.084, 0.217, 0.749], [0.217, 0.084, 0.249], [0.388, 0.612, 0.750], [0.612, 0.388, 0.250], [0.783, 0.916, 0.751], [0.916, 0.783, 0.251], [0.000, 0.500, 0.500], [0.165, 0.670, 0.000], [0.330, 0.835, 0.500], [0.500, 0.000, 0.000], [0.670, 0.165, 0.500], [0.835, 0.330, 0.000]], "m_tot_mub_per_fu": 0.0, "crystal_system": "monoclinic"}



Record 4
{"formula": "Ta4Nb2Cu3N3", "functional": "GGA-PBE", "state": "relaxed", "cell": [[4.635, -2.648, 0.000], [4.635, 2.648, 0.000], [-3.138, 0.000, 13.126]], "species": ["Ta", "Ta", "Ta", "Ta", "Ta", "Ta", "Ta", "Ta", "Nb", "Nb", "Nb", "Nb", "Cu", "Cu", "Cu", "Cu", "Cu", "Cu", "N", "N", "N", "N", "N", "N"], "frac_coords": [[0.018, 0.202, 0.084], [0.142, 0.308, 0.416], [0.202, 0.018, 0.584], [0.308, 0.142, 0.916], [0.692, 0.858, 0.084], [0.798, 0.982, 0.416], [0.858, 0.692, 0.584], [0.982, 0.798, 0.916], [0.382, 0.544, 0.127], [0.456, 0.618, 0.373], [0.544, 0.382, 0.627], [0.618, 0.456, 0.873], [0.066, 0.934, 0.750], [0.110, 0.413, 0.749], [0.413, 0.110, 0.249], [0.587, 0.890, 0.751], [0.890, 0.587, 0.251], [0.934, 0.066, 0.250], [0.000, 0.500, 0.000], [0.196, 0.651, 0.500], [0.349, 0.804, 0.000], [0.500, 0.000, 0.500], [0.651, 0.196, 0.000], [0.804, 0.349, 0.500]], "m_tot_mub_per_fu": 0.0, "crystal_system": "monoclinic"}



Record 5
{"formula": "Nb4TlCuN2", "functional": "GGA-PBE", "state": "relaxed", "cell": [[3.202, 0.000, 0.000], [-1.601, 2.773, 0.000], [0.000, 0.000, 13.570]], "species": ["Nb", "Nb", "Nb", "Nb", "Tl", "Cu", "N", "N"], "frac_coords": [[0.000, 0.000, 0.151], [0.000, 0.000, 0.849], [0.667, 0.333, 0.319], [0.667, 0.333, 0.681], [0.000, 0.000, 0.500], [0.667, 0.333, 0.000], [0.333, 0.667, 0.233], [0.333, 0.667, 0.767]], "m_tot_mub_per_fu": 0.0, "crystal_system": "hexagonal"}



Record 6
{"formula": "Nb4Cu3W2N3", "functional": "GGA-PBE", "state": "relaxed", "cell": [[4.644, -2.630, 0.000], [4.644, 2.630, 0.000], [-3.097, 0.000, 13.004]], "species": ["Nb", "Nb", "Nb", "Nb", "Nb", "Nb", "Nb", "Nb", "Cu", "Cu", "Cu", "Cu", "Cu", "Cu", "W", "W", "W", "W", "N", "N", "N", "N", "N", "N"], "frac_coords": [[0.026, 0.193, 0.083], [0.134, 0.309, 0.416], [0.193, 0.026, 0.583], [0.309, 0.134, 0.916], [0.691, 0.866, 0.084], [0.807, 0.974, 0.417], [0.866, 0.691, 0.584], [0.974, 0.807, 0.917], [0.021, 0.979, 0.750], [0.160, 0.411, 0.751], [0.411, 0.160, 0.251], [0.589, 0.840, 0.749], [0.840, 0.589, 0.249], [0.979, 0.021, 0.250], [0.385, 0.540, 0.124], [0.460, 0.615, 0.376], [0.540, 0.385, 0.624], [0.615, 0.460, 0.876], [0.000, 0.500, 0.000], [0.223, 0.638, 0.499], [0.362, 0.777, 0.001], [0.500, 0.000, 0.500], [0.638, 0.223, 0.999], [0.777, 0.362, 0.501]], "m_tot_mub_per_fu": 0.0, "crystal_system": "monoclinic"}



Record 7
{"formula": "Y4Nb2Cu3N3", "functional": "GGA-PBE", "state": "relaxed", "cell": [[5.064, -2.924, 0.000], [5.064, 2.924, 0.000], [-3.514, 0.000, 13.578]], "species": ["Y", "Y", "Y", "Y", "Y", "Y", "Y", "Y", "Nb", "Nb", "Nb", "Nb", "Cu", "Cu", "Cu", "Cu", "Cu", "Cu", "N", "N", "N", "N", "N", "N"], "frac_coords": [[0.046, 0.195, 0.108], [0.120, 0.296, 0.392], [0.195, 0.046, 0.608], [0.296, 0.120, 0.892], [0.704, 0.880, 0.108], [0.805, 0.954, 0.392], [0.880, 0.704, 0.608], [0.954, 0.805, 0.892], [0.348, 0.524, 0.071], [0.476, 0.652, 0.429], [0.524, 0.348, 0.571], [0.652, 0.476, 0.929], [0.177, 0.581, 0.251], [0.344, 0.656, 0.750], [0.419, 0.823, 0.249], [0.581, 0.177, 0.751], [0.656, 0.344, 0.250], [0.823, 0.419, 0.749], [0.000, 0.500, 0.000], [0.180, 0.660, 0.500], [0.340, 0.820, 0.000], [0.500, 0.000, 0.500], [0.660, 0.180, 0.000], [0.820, 0.340, 0.500]], "m_tot_mub_per_fu": 0.0, "crystal_system": "monoclinic"}



Record 8
{"formula": "Nb4ZnCuN2", "functional": "GGA-PBE", "state": "relaxed", "cell": [[3.157, 0.000, 0.000], [-1.579, 2.734, 0.000], [0.000, 0.000, 13.203]], "species": ["Nb", "Nb", "Nb", "Nb", "Zn", "Cu", "N", "N"], "frac_coords": [[0.000, 0.000, 0.157], [0.000, 0.000, 0.843], [0.667, 0.333, 0.335], [0.667, 0.333, 0.665], [0.000, 0.000, 0.500], [0.667, 0.333, 0.000], [0.333, 0.667, 0.246], [0.333, 0.667, 0.754]], "m_tot_mub_per_fu": 0.0, "crystal_system": "hexagonal"}



Record 9
{"formula": "Zr2Nb4Cu3N3", "functional": "GGA-PBE", "state": "relaxed", "cell": [[4.717, -2.717, 0.000], [4.717, 2.717, 0.000], [-3.145, 0.000, 13.325]], "species": ["Zr", "Zr", "Zr", "Zr", "Nb", "Nb", "Nb", "Nb", "Nb", "Nb", "Nb", "Nb", "Cu", "Cu", "Cu", "Cu", "Cu", "Cu", "N", "N", "N", "N", "N", "N"], "frac_coords": [[0.039, 0.876, 0.615], [0.124, 0.961, 0.885], [0.876, 0.039, 0.115], [0.961, 0.124, 0.385], [0.194, 0.360, 0.084], [0.303, 0.476, 0.416], [0.360, 0.194, 0.584], [0.476, 0.303, 0.916], [0.524, 0.697, 0.084], [0.640, 0.806, 0.416], [0.697, 0.524, 0.584], [0.806, 0.640, 0.916], [0.084, 0.389, 0.751], [0.389, 0.084, 0.251], [0.440, 0.560, 0.250], [0.560, 0.440, 0.750], [0.611, 0.916, 0.749], [0.916, 0.611, 0.249], [0.000, 0.500, 0.500], [0.157, 0.686, 0.000], [0.314, 0.843, 0.500], [0.500, 0.000, 0.000], [0.686, 0.157, 0.500], [0.843, 0.314, 0.000]], "m_tot_mub_per_fu": 0.0, "crystal_system": "monoclinic"}



Record 10
{"formula": "PrNdCu2N4", "functional": "GGA-PBE", "state": "relaxed", "cell": [[3.489, 0.000, 0.000], [0.000, 3.489, 0.000], [0.000, 0.000, 8.529]], "species": ["Pr", "Nd", "Cu", "Cu", "N", "N", "N", "N"], "frac_coords": [[0.000, 0.000, 0.000], [0.500, 0.500, 0.400], [0.000, 0.500, 0.699], [0.500, 0.000, 0.699], [0.000, 0.000, 0.554], [0.000, 0.500, 0.202], [0.500, 0.000, 0.202], [0.500, 0.500, 0.845]], "m_tot_mub_per_fu": 0.3, "crystal_system": "tetragonal"}



Record 11
{"formula": "Cu4NiN2", "functional": "GGA-PBE", "state": "relaxed", "cell": [[5.646, 0.000, 0.000], [0.000, 5.646, 0.000], [0.000, 0.000, 4.653]], "species": ["Cu", "Cu", "Cu", "Cu", "Cu", "Cu", "Cu", "Cu", "Ni", "Ni", "N", "N", "N", "N"], "frac_coords": [[0.209, 0.209, 0.000], [0.209, 0.791, 0.000], [0.291, 0.291, 0.500], [0.291, 0.709, 0.500], [0.709, 0.291, 0.500], [0.709, 0.709, 0.500], [0.791, 0.209, 0.000], [0.791, 0.791, 0.000], [0.000, 0.000, 0.500], [0.500, 0.500, 0.000], [0.000, 0.500, 0.250], [0.000, 0.500, 0.750], [0.500, 0.000, 0.250], [0.500, 0.000, 0.750]], "m_tot_mub_per_fu": 0.1, "crystal_system": "tetragonal"}



Record 12
{"formula": "CuNi3N5", "functional": "GGA-PBE", "state": "relaxed", "cell": [[5.203, 0.000, 0.000], [-2.602, 4.506, 0.000], [0.000, 0.000, 3.689]], "species": ["Cu", "Ni", "Ni", "Ni", "N", "N", "N", "N", "N"], "frac_coords": [[0.000, 0.000, 0.000], [0.000, 0.500, 0.500], [0.500, 0.000, 0.500], [0.500, 0.500, 0.500], [0.000, 0.000, 0.500], [0.333, 0.667, 0.169], [0.333, 0.667, 0.831], [0.667, 0.333, 0.169], [0.667, 0.333, 0.831]], "m_tot_mub_per_fu": 0.0, "crystal_system": "hexagonal"}



Record 13
{"formula": "CuNi3N", "functional": "GGA-PBE", "state": "relaxed", "cell": [[3.730, 0.000, 0.000], [0.000, 3.730, 0.000], [0.000, 0.000, 3.730]], "species": ["Cu", "Ni", "Ni", "Ni", "N"], "frac_coords": [[0.000, 0.000, 0.000], [0.000, 0.500, 0.500], [0.500, 0.000, 0.500], [0.500, 0.500, 0.000], [0.500, 0.500, 0.500]], "m_tot_mub_per_fu": 0.7, "crystal_system": "cubic"}



Record 14
{"formula": "Sr2CuNiN2", "functional": "GGA-PBE", "state": "relaxed", "cell": [[3.595, 0.000, 0.000], [-1.797, 3.113, 0.000], [0.000, 0.000, 8.036]], "species": ["Sr", "Sr", "Cu", "Ni", "N", "N"], "frac_coords": [[0.000, 0.000, 0.245], [0.000, 0.000, 0.755], [0.667, 0.333, 0.500], [0.333, 0.667, 0.000], [0.333, 0.667, 0.500], [0.667, 0.333, 0.000]], "m_tot_mub_per_fu": 0.0, "crystal_system": "hexagonal"}



Record 15
{"formula": "Ta4CuNiN2", "functional": "GGA-PBE", "state": "relaxed", "cell": [[3.098, 0.000, 0.000], [-1.549, 2.683, 0.000], [0.000, 0.000, 12.952]], "species": ["Ta", "Ta", "Ta", "Ta", "Cu", "Ni", "N", "N"], "frac_coords": [[0.000, 0.000, 0.153], [0.000, 0.000, 0.847], [0.333, 0.667, 0.340], [0.333, 0.667, 0.660], [0.000, 0.000, 0.500], [0.333, 0.667, 0.000], [0.667, 0.333, 0.248], [0.667, 0.333, 0.752]], "m_tot_mub_per_fu": 0.0, "crystal_system": "hexagonal"}



Record 16
{"formula": "CuNiW4N2", "functional": "GGA-PBE", "state": "relaxed", "cell": [[2.797, 0.000, 0.000], [-1.399, 2.423, 0.000], [0.000, 0.000, 14.563]], "species": ["Cu", "Ni", "W", "W", "W", "W", "N", "N"], "frac_coords": [[0.000, 0.000, 0.000], [0.333, 0.667, 0.500], [0.000, 0.000, 0.353], [0.000, 0.000, 0.647], [0.333, 0.667, 0.152], [0.333, 0.667, 0.848], [0.667, 0.333, 0.252], [0.667, 0.333, 0.748]], "m_tot_mub_per_fu": 0.0, "crystal_system": "hexagonal"}



Record 17
{"formula": "Cu2Os3N3", "functional": "GGA-PBE", "state": "relaxed", "cell": [[2.044, 1.180, 6.132], [-2.044, 1.180, 6.132], [0.000, -2.360, 6.132]], "species": ["Cu", "Cu", "Os", "Os", "Os", "N", "N", "N"], "frac_coords": [[0.212, 0.212, 0.212], [0.788, 0.788, 0.788], [0.070, 0.070, 0.070], [0.500, 0.500, 0.500], [0.930, 0.930, 0.930], [0.000, 0.500, 0.500], [0.500, 0.000, 0.500], [0.500, 0.500, 0.000]], "m_tot_mub_per_fu": 0.1, "crystal_system": "trigonal"}



Record 18
{"formula": "CuPN2", "functional": "GGA-PBE", "state": "relaxed", "cell": [[2.701, 0.000, 0.000], [0.000, 4.678, 0.000], [0.000, 0.000, 11.391]], "species": ["Cu", "Cu", "Cu", "Cu", "P", "P", "P", "P", "N", "N", "N", "N", "N", "N", "N", "N"], "frac_coords": [[0.000, 0.168, 0.250], [0.000, 0.832, 0.750], [0.500, 0.332, 0.750], [0.500, 0.668, 0.250], [0.000, 0.500, 0.000], [0.000, 0.500, 0.500], [0.500, 0.000, 0.000], [0.500, 0.000, 0.500], [0.000, 0.167, 0.083], [0.000, 0.167, 0.417], [0.000, 0.833, 0.583], [0.000, 0.833, 0.917], [0.500, 0.333, 0.583], [0.500, 0.333, 0.917], [0.500, 0.667, 0.083], [0.500, 0.667, 0.417]], "crystal_system": "orthorhombic"}



Record 19
{"formula": "CuPN2", "functional": "GGA-PBE", "state": "relaxed", "cell": [[4.469, 0.000, 0.000], [0.000, 4.469, 0.000], [0.000, 0.000, 7.699]], "species": ["Cu", "Cu", "Cu", "Cu", "P", "P", "P", "P", "N", "N", "N", "N", "N", "N", "N", "N"], "frac_coords": [[0.000, 0.000, 0.000], [0.000, 0.500, 0.250], [0.500, 0.000, 0.750], [0.500, 0.500, 0.500], [0.000, 0.000, 0.500], [0.000, 0.500, 0.750], [0.500, 0.000, 0.250], [0.500, 0.500, 0.000], [0.167, 0.250, 0.625], [0.250, 0.667, 0.875], [0.250, 0.833, 0.375], [0.333, 0.250, 0.125], [0.667, 0.750, 0.125], [0.750, 0.167, 0.375], [0.750, 0.333, 0.875], [0.833, 0.750, 0.625]], "crystal_system": "tetragonal"}



In Å³ per cell, the calculated volume values for the records above are, in order, 340.1, 350.9, 331.9, 322.1, 120.5, 317.7, 402.2, 114.0, 341.6, 103.8, 148.4, 86.5, 51.9, 89.9, 107.7, 98.7, 88.8, 143.9, 153.8.
In Mg/m³, the mass density values for the records above are, in order, 6.78, 5.66, 9.67, 11.78, 9.20, 10.16, 6.39, 7.70, 7.65, 7.49, 7.63, 5.94, 8.11, 6.01, 13.48, 14.90, 13.84, 5.66, 5.29.
In eV per formula unit, the raw total energy values for the records above are, in order, -97.15, -91.07, -105.14, -109.02, -66.31, -103.80, -90.45, -65.81, -101.01, -49.74, -29.25, -57.51, -28.78, -29.79, -77.05, -76.45, -51.28, -25.89, -26.34.